Entry 1:
Below is crystalline Ca2Ho4Sn3O2 at its relaxed geometry, with properties calculated at the PBE-GGA level.

Lattice parameters (Å, degrees): 12.927 12.927 12.927 159.08 159.08 29.76
Fractional coordinates of all 11 atoms:
Ca 0.196 0.196 0.000
Ca 0.804 0.804 0.000
Ho 0.085 0.585 0.500
Ho 0.415 0.915 0.500
Ho 0.585 0.085 0.500
Ho 0.915 0.415 0.500
Sn 0.328 0.328 0.000
Sn 0.500 0.500 0.000
Sn 0.672 0.672 0.000
O 0.094 0.094 0.000
O 0.906 0.906 0.000

Energy relative to the elements, uncorrected = -1535 meV per atom


Entry 2:
Below is crystalline CrAs2Pd3 at its relaxed geometry, with properties calculated at the PBE-GGA level.

Lattice parameters (Å, degrees): 7.401 7.401 7.401 135.09 63.66 137.35
Fractional coordinates of all 12 atoms:
Cr 0.250 0.250 0.000
Cr 0.750 0.750 0.000
As 0.126 0.229 0.355
As 0.374 0.729 0.102
As 0.626 0.271 0.898
As 0.874 0.771 0.645
Pd 0.178 0.768 0.946
Pd 0.250 0.750 0.500
Pd 0.322 0.268 0.591
Pd 0.678 0.732 0.409
Pd 0.750 0.250 0.500
Pd 0.822 0.232 0.054

Energy of formation = -151 kJ/mol of formula units